[1]
Here is Ba2Pb2Au after structural relaxation from Alexandria via LeMat-Bulk. Energies are from PBE-GGA.

- space-group type = Amm2, No. 38
- DFT total energy (eV per atom) = -3.433
- magnetic moment (μB/cell) = 0.0
- polymorph energy (0 for the lowest one) (meV/atom) = 44

a b c (Å): 4.0892 5.1900 8.5973
angles (deg): 107.57 90.00 90.00
Element x y z (fractional)
Pb: 0.5000 0.5132 0.0265
Ba: 0.0000 0.9272 0.8545
Pb: 0.5000 0.3033 0.6066
Au: 0.5000 0.1068 0.2136
Ba: 0.0000 0.6915 0.3830



[2]
Here is BaPb4Au2 after structural relaxation from Alexandria via LeMat-Bulk. Energies are from PBE-GGA.

- space-group type = Cmmm, No. 65
- DFT total energy (eV per atom) = -3.600
- magnetic moment (μB/cell) = 0.0
- polymorph energy (0 for the lowest one) (meV/atom) = 40

a b c (Å): 4.5041 5.0683 9.6641
angles (deg): 105.20 90.00 90.00
Element x y z (fractional)
Au: 0.5000 0.4268 0.8536
Pb: 0.0000 0.6851 0.3701
Pb: 0.0000 0.3149 0.6299
Ba: 0.0000 0.0000 0.0000
Pb: 0.5000 0.1730 0.3461
Au: 0.5000 0.5732 0.1464
Pb: 0.5000 0.8270 0.6539



[3]
Here is Ba3Pb7Au4 after structural relaxation from Alexandria via LeMat-Bulk. Energies are from PBE-GGA.

- space-group type = C2/m, No. 12
- DFT total energy (eV per atom) = -3.642
- magnetic moment (μB/cell) = 0.0

a b c (Å): 4.9416 9.7413 9.8588
angles (deg): 70.10 75.49 75.31
Element x y z (fractional)
Pb: 0.5069 0.7746 0.2116
Ba: 0.0000 0.5000 0.5000
Pb: 0.0000 0.0000 0.0000
Ba: 0.6877 0.8214 0.8033
Pb: 0.3212 0.8274 0.5301
Pb: 0.6788 0.1726 0.4699
Pb: 0.4931 0.2254 0.7884
Au: 0.8736 0.8979 0.3549
Pb: 0.8356 0.4020 0.9268
Ba: 0.3123 0.1786 0.1967
Au: 0.1264 0.1021 0.6451
Au: 0.6597 0.4490 0.2316
Au: 0.3403 0.5510 0.7684
Pb: 0.1644 0.5980 0.0732



[4]
Here is BaPb3Au2 after structural relaxation from Alexandria via LeMat-Bulk. Energies are from PBE-GGA.

- space-group type = C2/m, No. 12
- DFT total energy (eV per atom) = -3.588
- magnetic moment (μB/cell) = 0.0
- polymorph energy (0 for the lowest one) (meV/atom) = 26

a b c (Å): 4.9425 9.1646 9.3220
angles (deg): 114.86 90.00 105.64
Element x y z (fractional)
Au: 0.4900 0.9799 0.8456
Pb: 0.9476 0.8951 0.6109
Pb: 0.6906 0.3812 0.4167
Au: 0.7947 0.5895 0.2362
Pb: 0.3966 0.7933 0.3170
Au: 0.2053 0.4105 0.7638
Ba: 0.1418 0.2837 0.0618
Ba: 0.8582 0.7163 0.9382
Pb: 0.6034 0.2067 0.6830
Pb: 0.3094 0.6188 0.5833
Au: 0.5100 0.0201 0.1544
Pb: 0.0524 0.1049 0.3891



[5]
Here is Ba2Pb5Au3 after structural relaxation from Alexandria via LeMat-Bulk. Energies are from PBE-GGA.

- space-group type = P-4m2, No. 115
- DFT total energy (eV per atom) = -3.575
- magnetic moment (μB/cell) = 0.0
- polymorph energy (0 for the lowest one) (meV/atom) = 62

a b c (Å): 5.2389 5.2389 11.6217
angles (deg): 90.00 90.00 90.00
Element x y z (fractional)
Pb: 0.0000 0.5000 0.1594
Au: 0.0000 0.5000 0.4015
Pb: 0.5000 0.5000 0.0000
Ba: 0.0000 0.5000 0.7163
Ba: 0.5000 0.0000 0.2837
Au: 0.5000 0.0000 0.5985
Pb: 0.5000 0.0000 0.8406
Pb: 0.0000 0.0000 0.0000
Au: 0.0000 0.0000 0.5000
Pb: 0.5000 0.5000 0.5000



[6]
Here is Ba2PbAu after structural relaxation from Alexandria via LeMat-Bulk. Energies are from PBE-GGA.

- space-group type = F-43m, No. 216
- DFT total energy (eV per atom) = -3.035
- magnetic moment (μB/cell) = 0.0

a b c (Å): 5.7398 5.7398 5.7398
angles (deg): 60.00 60.00 60.00
Element x y z (fractional)
Pb: 0.7500 0.7500 0.7500
Ba: 0.2500 0.2500 0.2500
Ba: 0.0000 0.0000 0.0000
Au: 0.5000 0.5000 0.5000



[7]
Here is Ba2Pb2Au after structural relaxation from Alexandria via LeMat-Bulk. Energies are from PBE-GGA.

- space-group type = C2/m, No. 12
- DFT total energy (eV per atom) = -3.477
- magnetic moment (μB/cell) = 0.0
- polymorph energy (0 for the lowest one) (meV/atom) = 0

a b c (Å): 5.1459 6.7258 11.4729
angles (deg): 85.72 77.04 67.51
Element x y z (fractional)
Pb: 0.0950 0.2581 0.5520
Pb: 0.3672 0.1521 0.1135
Au: 0.6095 0.1176 0.6634
Ba: 0.6855 0.2959 0.3330
Ba: 0.9267 0.2634 0.8831
Pb: 0.6328 0.8479 0.8865
Au: 0.3905 0.8824 0.3366
Pb: 0.9050 0.7419 0.4480
Ba: 0.0733 0.7366 0.1169
Ba: 0.3145 0.7041 0.6670



[8]
Here is Ba2PbAu after structural relaxation from Alexandria via LeMat-Bulk. Energies are from PBE-GGA.

- space-group type = I-4m2, No. 119
- DFT total energy (eV per atom) = -3.133
- magnetic moment (μB/cell) = 0.0

a b c (Å): 6.6759 6.6759 6.6759
angles (deg): 136.04 136.04 63.92
Element x y z (fractional)
Pb: 0.5000 0.5000 0.0000
Au: 0.7500 0.2500 0.5000
Ba: 0.2500 0.7500 0.5000
Ba: 0.0000 0.0000 0.0000



[9]
Here is BaPb12Au4 after structural relaxation from Alexandria via LeMat-Bulk. Energies are from PBE-GGA.

- space-group type = Im-3, No. 204
- DFT total energy (eV per atom) = -3.554
- magnetic moment (μB/cell) = 0.0

a b c (Å): 8.8232 8.8232 8.8232
angles (deg): 109.47 109.47 109.47
Element x y z (fractional)
Pb: 0.3467 0.1888 0.8421
Pb: 0.6533 0.8112 0.1579
Pb: 0.1579 0.3467 0.5046
Au: 0.0000 0.5000 0.0000
Pb: 0.1888 0.8421 0.3467
Pb: 0.8421 0.6533 0.4954
Pb: 0.8112 0.1579 0.6533
Pb: 0.3467 0.5046 0.1579
Au: 0.0000 0.0000 0.5000
Pb: 0.1579 0.6533 0.8112
Ba: 0.0000 0.0000 0.0000
Au: 0.5000 0.0000 0.0000
Au: 0.5000 0.5000 0.5000
Pb: 0.5046 0.1579 0.3467
Pb: 0.8421 0.3467 0.1888
Pb: 0.4954 0.8421 0.6533
Pb: 0.6533 0.4954 0.8421



[10]
Here is BaPbAu2 after structural relaxation from Alexandria via LeMat-Bulk. Energies are from PBE-GGA.

- space-group type = Imm2, No. 44
- DFT total energy (eV per atom) = -3.386
- magnetic moment (μB/cell) = 0.0

a b c (Å): 6.1063 6.1063 6.1063
angles (deg): 141.44 125.73 68.54
Element x y z (fractional)
Au: 0.9901 0.9901 0.0000
Pb: 0.2149 0.7149 0.5000
Au: 0.7871 0.2871 0.5000
Ba: 0.5079 0.5079 0.0000



[11]
Here is BaPb2Au after structural relaxation from Alexandria via LeMat-Bulk. Energies are from PBE-GGA.

- space-group type = Imm2, No. 44
- DFT total energy (eV per atom) = -3.489
- magnetic moment (μB/cell) = 0.0

a b c (Å): 6.2786 6.2786 6.2786
angles (deg): 133.80 131.93 68.88
Element x y z (fractional)
Pb: 0.0012 0.0012 0.0000
Au: 0.5347 0.5347 0.0000
Pb: 0.6927 0.1927 0.5000
Ba: 0.2715 0.7715 0.5000



[12]
Here is BaPbAu2 after structural relaxation from Alexandria via LeMat-Bulk. Energies are from PBE-GGA.

- space-group type = C2/m, No. 12
- DFT total energy (eV per atom) = -3.530
- magnetic moment (μB/cell) = 0.0

a b c (Å): 5.0259 5.0259 6.1938
angles (deg): 66.18 66.18 59.97
Element x y z (fractional)
Ba: 0.7500 0.7500 0.7500
Au: 0.5344 0.5344 0.3968
Au: 0.9656 0.9656 0.1032
Pb: 0.2500 0.2500 0.2500



- What is the formula in the eleventh record?
  BaPb2Au



- magnetic moment of number 8 (Ba2PbAu)?
  0.0 μB/cell